MnSbP | GGA-PBE | relaxed Values from VASP.

Cell and atoms, written as Quantum ESPRESSO input:
```
&SYSTEM
  ibrav = 0, nat = 6, ntyp = 3
/
ATOMIC_SPECIES
Mn 54.94 Mn.upf
Sb 121.76 Sb.upf
P 30.97 P.upf
CELL_PARAMETERS angstrom
3.669 0.000 0.000
0.000 3.669 0.000
0.000 0.000 7.067
ATOMIC_POSITIONS crystal
Mn 0.250 0.250 0.198
Mn 0.750 0.750 0.802
Sb 0.250 0.250 0.628
Sb 0.750 0.750 0.372
P 0.250 0.750 0.000
P 0.750 0.250 0.000
```

Summary:
* N(E_F): 2.20 states/eV per cell
* raw total energy: -6.26 eV per atom
* formation energy without anion corrections: -25 meV per atom
* size of the total moment: 0.000 μB/atom
* crystal system: tetragonal
* excess energy over the best structure of this formula in the dataset: 12.42 kJ per mole of atoms



Al5W | GGA-PBE | relaxed Values from VASP.

Cell and atoms, written as Quantum ESPRESSO input:
```
&SYSTEM
  ibrav = 0, nat = 12, ntyp = 2
/
ATOMIC_SPECIES
Al 26.98 Al.upf
W 183.84 W.upf
CELL_PARAMETERS angstrom
4.913 0.000 0.000
-2.457 4.255 0.000
0.000 0.000 8.866
ATOMIC_POSITIONS crystal
Al 0.000 0.000 0.250
Al 0.000 0.000 0.750
Al 0.000 0.338 0.000
Al 0.000 0.662 0.500
Al 0.333 0.667 0.250
Al 0.338 0.000 0.000
Al 0.338 0.338 0.500
Al 0.662 0.000 0.500
Al 0.662 0.662 0.000
Al 0.667 0.333 0.750
W 0.333 0.667 0.750
W 0.667 0.333 0.250
```

Summary:
* N(E_F): 2.37 states/eV per cell
* raw total energy: -5.44 eV per atom
* size of the total moment: 0.000 μB/atom
* crystal system: hexagonal
* formation energy: -0.1634 eV per atom



K2NpSe2Br2 | GGA-PBE | relaxed Values from VASP.

Cell and atoms, written as Quantum ESPRESSO input:
```
&SYSTEM
  ibrav = 0, nat = 14, ntyp = 4
/
ATOMIC_SPECIES
K 39.10 K.upf
Np 237.00 Np.upf
Se 78.96 Se.upf
Br 79.90 Br.upf
CELL_PARAMETERS angstrom
5.502 0.000 0.000
0.000 5.502 0.000
0.000 0.000 16.806
ATOMIC_POSITIONS crystal
K 0.000 0.000 0.132
K 0.000 0.000 0.868
K 0.500 0.500 0.368
K 0.500 0.500 0.632
Np 0.000 0.000 0.500
Np 0.500 0.500 0.000
Se 0.000 0.500 0.000
Se 0.000 0.500 0.500
Se 0.500 0.000 0.000
Se 0.500 0.000 0.500
Br 0.000 0.000 0.329
Br 0.000 0.000 0.671
Br 0.500 0.500 0.171
Br 0.500 0.500 0.829
```

Summary:
* N(E_F): 25.64 states/eV per cell
* raw total energy: -5.01 eV per atom
* formation energy without anion corrections: -1370 meV per atom
* size of the total moment: 0.429 μB/atom
* crystal system: tetragonal



Cd2WBr | GGA-PBE | relaxed Values from VASP.

Cell and atoms, written as Quantum ESPRESSO input:
```
&SYSTEM
  ibrav = 0, nat = 8, ntyp = 3
/
ATOMIC_SPECIES
Cd 112.41 Cd.upf
W 183.84 W.upf
Br 79.90 Br.upf
CELL_PARAMETERS angstrom
2.900 0.000 0.000
0.000 4.538 0.000
0.000 0.000 13.829
ATOMIC_POSITIONS crystal
Cd 0.000 0.000 0.191
Cd 0.000 0.000 0.809
Cd 0.500 0.500 0.309
Cd 0.500 0.500 0.691
W 0.000 0.500 0.500
W 0.500 0.000 0.000
Br 0.000 0.500 0.000
Br 0.500 0.000 0.500
```

Summary:
* N(E_F): 6.12 states/eV per cell
* raw total energy: -3.39 eV per atom
* formation energy without anion corrections: 725 meV per atom
* size of the total moment: 0.173 μB/atom
* crystal system: orthorhombic
* excess energy over the best structure of this formula in the dataset: 25.82 kJ per mole of atoms



Pm3Nd2ThS6 | GGA-PBE | relaxed Values from VASP.

Cell and atoms, written as Quantum ESPRESSO input:
```
&SYSTEM
  ibrav = 0, nat = 12, ntyp = 4
/
ATOMIC_SPECIES
Pm 145.00 Pm.upf
Nd 144.24 Nd.upf
Th 232.04 Th.upf
S 32.06 S.upf
CELL_PARAMETERS angstrom
8.813 -2.023 0.000
8.813 2.023 0.000
-1.876 0.000 7.883
ATOMIC_POSITIONS crystal
Pm 0.000 0.000 0.000
Pm 0.333 0.333 0.665
Pm 0.667 0.667 0.335
Nd 0.334 0.334 0.168
Nd 0.666 0.666 0.832
Th 0.000 0.000 0.500
S 0.167 0.167 0.085
S 0.167 0.167 0.582
S 0.499 0.499 0.751
S 0.501 0.501 0.249
S 0.833 0.833 0.418
S 0.833 0.833 0.915
```

Summary:
* N(E_F): 5.81 states/eV per cell
* raw total energy: -6.66 eV per atom
* formation energy without anion corrections: -1991 meV per atom
* size of the total moment: 0.000 μB/atom
* crystal system: monoclinic



NpAlSn2 | GGA-PBE | relaxed Values from VASP.

Cell and atoms, written as Quantum ESPRESSO input:
```
&SYSTEM
  ibrav = 0, nat = 4, ntyp = 3
/
ATOMIC_SPECIES
Np 237.00 Np.upf
Al 26.98 Al.upf
Sn 118.71 Sn.upf
CELL_PARAMETERS angstrom
4.528 0.000 0.000
0.000 4.528 0.000
0.000 0.000 4.500
ATOMIC_POSITIONS crystal
Np 0.000 0.000 0.000
Al 0.500 0.500 0.000
Sn 0.000 0.500 0.500
Sn 0.500 0.000 0.500
```

Summary:
* N(E_F): 10.40 states/eV per cell
* raw total energy: -6.29 eV per atom
* size of the total moment: 0.999 μB/atom
* crystal system: tetragonal
* formation energy: -0.1158 eV per atom
* excess energy over the best structure of this formula in the dataset: 0.00 kJ per mole of atoms



TbCdSn | GGA-PBE | relaxed Values from VASP.

Cell and atoms, written as Quantum ESPRESSO input:
```
&SYSTEM
  ibrav = 0, nat = 12, ntyp = 3
/
ATOMIC_SPECIES
Tb 158.93 Tb.upf
Cd 112.41 Cd.upf
Sn 118.71 Sn.upf
CELL_PARAMETERS angstrom
4.688 0.000 0.000
0.000 7.268 0.000
0.000 0.000 8.973
ATOMIC_POSITIONS crystal
Tb 0.000 0.000 0.000
Tb 0.000 0.500 0.095
Tb 0.500 0.000 0.595
Tb 0.500 0.500 0.500
Cd 0.000 0.296 0.710
Cd 0.000 0.704 0.710
Cd 0.500 0.204 0.210
Cd 0.500 0.796 0.210
Sn 0.000 0.220 0.391
Sn 0.000 0.780 0.391
Sn 0.500 0.280 0.891
Sn 0.500 0.720 0.891
```

Summary:
* N(E_F): 7.62 states/eV per cell
* raw total energy: -3.62 eV per atom
* size of the total moment: 0.000 μB/atom
* crystal system: orthorhombic
* formation energy: -0.4398 eV per atom



Pa2Ga3Ru | GGA-PBE | relaxed Values from VASP.

Cell and atoms, written as Quantum ESPRESSO input:
```
&SYSTEM
  ibrav = 0, nat = 6, ntyp = 3
/
ATOMIC_SPECIES
Pa 231.04 Pa.upf
Ga 69.72 Ga.upf
Ru 101.07 Ru.upf
CELL_PARAMETERS angstrom
3.431 0.000 0.000
0.000 4.496 0.000
0.000 0.000 7.690
ATOMIC_POSITIONS crystal
Pa 0.000 0.000 0.000
Pa 0.000 0.500 0.461
Ga 0.500 0.000 0.646
Ga 0.500 0.500 0.141
Ga 0.500 0.500 0.808
Ru 0.500 0.000 0.309
```

Summary:
* N(E_F): 6.06 states/eV per cell
* raw total energy: -6.68 eV per atom
* size of the total moment: 0.000 μB/atom
* crystal system: orthorhombic
* formation energy: -0.4544 eV per atom



> Which formula does entry 7 have?

TbCdSn